i | First-principles (PBE) data for a relaxed KSb2Pt crystal, as listed in Alexandria.

Output
magnetic moment	0.00	μB per cell

Cell: 4.440 3.370 7.313 Å, 90.00 90.00 90.00°
Atoms (fractional coordinates):
K (0.500, 0.250, 0.250)
Pt (0.500, 0.750, 0.750)
Sb (0.000, 0.750, 0.953)
Sb (0.000, 0.750, 0.547)

ii | First-principles (PBE) data for a relaxed KSb2Pt crystal, as listed in Alexandria.

Output
magnetic moment	0.00	μB per cell

Cell: 3.595 3.595 8.620 Å, 90.00 90.00 103.32°
Atoms (fractional coordinates):
K (0.500, 0.500, 0.250)
Pt (0.500, 0.500, 0.750)
Sb (0.000, 0.000, 0.932)
Sb (0.000, 0.000, 0.568)

iii | First-principles (PBE) data for a relaxed KSb2Pt crystal, as listed in Alexandria.

Output
magnetic moment	0.00	μB per cell

Cell: 4.376 5.110 6.056 Å, 77.97 90.00 90.00°
Atoms (fractional coordinates):
K (0.000, 0.596, 0.477)
Pt (0.500, 0.713, 0.006)
Sb (0.000, 0.992, 0.875)
Sb (0.500, 0.199, 0.142)

iv | First-principles (PBE) data for a relaxed KSb2Pt crystal, as listed in Alexandria.

Output
magnetic moment	0.00	μB per cell

Cell: 8.452 8.452 8.452 Å, 28.97 28.97 28.97°
Atoms (fractional coordinates):
K (0.487, 0.487, 0.487)
Pt (0.724, 0.724, 0.724)
Sb (0.016, 0.016, 0.016)
Sb (0.272, 0.272, 0.272)

Stability summary - winner: i; margin: 33 meV/atom.

i | First-principles (PBE) data for a relaxed KSb2Pt crystal, as listed in Alexandria.

Output
magnetic moment	0.00	μB per cell

Cell: 4.978 9.575 10.499 Å, 117.13 103.71 90.00°
Atoms (fractional coordinates):
K (0.700, 0.700, 0.400)
K (0.500, 0.255, 0.000)
K (0.500, 0.745, 0.000)
K (0.300, 0.300, 0.600)
Sb (0.921, 0.421, 0.842)
Sb (0.700, 0.360, 0.401)
Sb (0.700, 0.041, 0.401)
Sb (0.300, 0.640, 0.599)
Sb (0.081, 0.081, 0.161)
Sb (0.079, 0.579, 0.158)
Sb (0.919, 0.919, 0.839)
Sb (0.300, 0.959, 0.599)
Pt (0.846, 0.599, 0.692)
Pt (0.154, 0.401, 0.308)
Pt (0.154, 0.907, 0.308)
Pt (0.846, 0.093, 0.692)

ii | First-principles (PBE) data for a relaxed KSb2Pt crystal, as listed in Alexandria.

Output
magnetic moment	0.00	μB per cell

Cell: 8.457 8.457 6.782 Å, 51.43 51.43 90.00°
Atoms (fractional coordinates):
Sb (0.708, 0.125, 0.250)
Sb (0.042, 0.625, 0.250)
Sb (0.375, 0.292, 0.750)
Sb (0.875, 0.958, 0.750)
K (0.500, 0.500, 0.000)
K (0.250, 0.750, 0.500)
Pt (0.000, 0.000, 0.000)
Pt (0.750, 0.250, 0.500)

iii | First-principles (PBE) data for a relaxed KSb2Pt crystal, as listed in Alexandria.

Output
magnetic moment	0.00	μB per cell

Cell: 4.266 4.266 7.958 Å, 74.37 74.37 59.88°
Atoms (fractional coordinates):
Sb (0.948, 0.948, 0.156)
Sb (0.718, 0.718, 0.846)
K (0.502, 0.502, 0.496)
Pt (0.332, 0.332, 0.002)

Stability summary - winner: iii; margin: 93 meV/atom.

i | First-principles (PBE) data for a relaxed KSbPt3 crystal, as listed in Alexandria.

Output
magnetic moment	0.00	μB per cell

Cell: 4.962 4.962 4.962 Å, 90.00 90.00 90.00°
Atoms (fractional coordinates):
Sb (0.500, 0.500, 0.500)
K (0.000, 0.000, 0.000)
Pt (0.000, 0.500, 0.000)
Pt (0.000, 0.000, 0.500)
Pt (0.500, 0.000, 0.000)

ii | First-principles (PBE) data for a relaxed KSbPt3 crystal, as listed in Alexandria.

Output
magnetic moment	0.00	μB per cell

Cell: 5.070 5.070 5.070 Å, 90.00 90.00 90.00°
Atoms (fractional coordinates):
Sb (0.000, 0.000, 0.000)
K (0.500, 0.500, 0.500)
Pt (0.000, 0.500, 0.000)
Pt (0.000, 0.000, 0.500)
Pt (0.500, 0.000, 0.000)

Stability summary - winner: ii; margin: 1541 meV/atom.

i | First-principles (PBE) data for a relaxed KSb2Pt3 crystal, as listed in Alexandria.

Output
magnetic moment	0.00	μB per cell

Cell: 4.170 8.438 9.035 Å, 110.39 90.00 104.30°
Atoms (fractional coordinates):
K (0.850, 0.700, 0.956)
K (0.150, 0.300, 0.044)
Sb (0.467, 0.934, 0.792)
Sb (0.533, 0.066, 0.208)
Sb (0.811, 0.622, 0.321)
Sb (0.189, 0.378, 0.679)
Pt (0.313, 0.625, 0.547)
Pt (0.946, 0.893, 0.602)
Pt (0.582, 0.164, 0.652)
Pt (0.418, 0.836, 0.348)
Pt (0.054, 0.107, 0.398)
Pt (0.687, 0.375, 0.453)

ii | First-principles (PBE) data for a relaxed KSb2Pt3 crystal, as listed in Alexandria.

Output
magnetic moment	0.00	μB per cell

Cell: 4.486 8.059 9.560 Å, 58.88 76.09 81.98°
Atoms (fractional coordinates):
K (0.074, 0.782, 0.934)
K (0.926, 0.218, 0.066)
Sb (0.563, 0.197, 0.765)
Sb (0.437, 0.803, 0.235)
Sb (0.280, 0.342, 0.282)
Sb (0.720, 0.658, 0.718)
Pt (0.708, 0.039, 0.562)
Pt (0.128, 0.238, 0.603)
Pt (0.295, 0.550, 0.623)
Pt (0.705, 0.450, 0.377)
Pt (0.872, 0.762, 0.397)
Pt (0.292, 0.961, 0.438)

Stability summary - winner: ii; margin: 6 meV/atom.

i | First-principles (PBE) data for a relaxed KSb2TePt crystal, as listed in Alexandria.

Output
magnetic moment	0.00	μB per cell

Cell: 5.268 5.268 5.879 Å, 90.00 90.00 90.00°
Atoms (fractional coordinates):
Sb (0.000, 0.500, 0.000)
Sb (0.500, 0.000, 0.000)
K (0.500, 0.500, 0.500)
Te (0.000, 0.000, 0.500)
Pt (0.000, 0.000, 0.000)

ii | First-principles (PBE) data for a relaxed KSb2TePt crystal, as listed in Alexandria.

Output
magnetic moment	0.73	μB per cell

Cell: 5.717 5.717 5.713 Å, 90.00 90.00 90.00°
Each line ends with the local moment (μB).
Atoms (fractional coordinates):
Sb (0.000, 0.500, 0.000)  0.11
Sb (0.500, 0.000, 0.000)  0.11
K (0.000, 0.000, 0.000)  0.04
Te (0.000, 0.000, 0.500)  0.00
Pt (0.500, 0.500, 0.500)  0.18

Stability summary - winner: i; margin: 1754 meV/atom.

i | First-principles (PBE) data for a relaxed KSc2Pt2 crystal, as listed in Alexandria.

Output
magnetic moment	0.00	μB per cell

Cell: 8.329 8.329 3.065 Å, 90.00 90.00 90.00°
Atoms (fractional coordinates):
Sc (0.138, 0.638, 0.500)
Sc (0.638, 0.862, 0.500)
Sc (0.862, 0.362, 0.500)
Sc (0.362, 0.138, 0.500)
K (0.000, 0.000, 0.000)
K (0.500, 0.500, 0.000)
Pt (0.353, 0.853, 0.000)
Pt (0.853, 0.647, 0.000)
Pt (0.647, 0.147, 0.000)
Pt (0.147, 0.353, 0.000)

ii | First-principles (PBE) data for a relaxed KSc2Pt2 crystal, as listed in Alexandria.

Output
magnetic moment	0.00	μB per cell

Cell: 8.290 8.290 3.038 Å, 90.00 90.00 90.00°
Atoms (fractional coordinates):
Sc (0.363, 0.863, 0.000)
Sc (0.863, 0.637, 0.000)
Sc (0.637, 0.137, 0.000)
Sc (0.137, 0.363, 0.000)
K (0.000, 0.000, 0.000)
K (0.500, 0.500, 0.000)
Pt (0.150, 0.650, 0.500)
Pt (0.650, 0.850, 0.500)
Pt (0.850, 0.350, 0.500)
Pt (0.350, 0.150, 0.500)

iii | First-principles (PBE) data for a relaxed KSc2Pt2 crystal, as listed in Alexandria.

Output
magnetic moment	0.00	μB per cell

Cell: 4.576 4.576 6.527 Å, 69.48 69.48 90.00°
Atoms (fractional coordinates):
Sc (0.750, 0.250, 0.500)
Sc (0.250, 0.750, 0.500)
K (0.000, 0.000, 0.000)
Pt (0.380, 0.380, 0.240)
Pt (0.620, 0.620, 0.760)

Stability summary - winner: iii; margin: 38 meV/atom.

i | First-principles (PBE) data for a relaxed K3ScPt crystal, as listed in Alexandria.

Output
magnetic moment	2.00	μB per cell

Cell: 6.179 6.179 6.179 Å, 90.00 90.00 90.00°
Each line ends with the local moment (μB).
Atoms (fractional coordinates):
Sc (0.500, 0.500, 0.500)  1.01
K (0.000, 0.500, 0.000)  0.01
K (0.000, 0.000, 0.500)  0.01
K (0.500, 0.000, 0.000)  0.01
Pt (0.000, 0.000, 0.000)  -0.01

ii | First-principles (PBE) data for a relaxed K3ScPt crystal, as listed in Alexandria.

Output
magnetic moment	2.00	μB per cell

Cell: 6.400 6.400 6.400 Å, 90.00 90.00 90.00°
Each line ends with the local moment (μB).
Atoms (fractional coordinates):
Sc (0.000, 0.000, 0.000)  1.20
K (0.000, 0.500, 0.000)  0.03
K (0.000, 0.000, 0.500)  0.03
K (0.500, 0.000, 0.000)  0.03
Pt (0.500, 0.500, 0.500)  -0.34

Stability summary - winner: i; margin: 695 meV/atom.

i | First-principles (PBE) data for a relaxed KSiPt3 crystal, as listed in Alexandria.

Output
magnetic moment	0.00	μB per cell

Cell: 4.922 4.922 4.922 Å, 90.00 90.00 90.00°
Atoms (fractional coordinates):
K (0.000, 0.000, 0.000)
Si (0.500, 0.500, 0.500)
Pt (0.000, 0.500, 0.000)
Pt (0.000, 0.000, 0.500)
Pt (0.500, 0.000, 0.000)

ii | First-principles (PBE) data for a relaxed KSiPt3 crystal, as listed in Alexandria.

Output
magnetic moment	0.00	μB per cell

Cell: 6.001 6.291 6.629 Å, 118.30 116.91 90.00°
Atoms (fractional coordinates):
K (0.154, 0.562, 0.498)
K (0.153, 0.062, 0.498)
Si (0.805, 0.714, 0.801)
Si (0.502, 0.410, 0.195)
Pt (0.654, 0.278, 0.499)
Pt (0.654, 0.562, 0.998)
Pt (0.654, 0.062, 0.998)
Pt (0.653, 0.846, 0.498)
Pt (0.154, 0.062, 0.998)
Pt (0.154, 0.562, 0.998)

iii | First-principles (PBE) data for a relaxed KSiPt3 crystal, as listed in Alexandria.

Output
magnetic moment	0.00	μB per cell

Cell: 4.674 4.674 4.674 Å, 90.00 90.00 90.00°
Atoms (fractional coordinates):
K (0.500, 0.500, 0.500)
Si (0.000, 0.000, 0.000)
Pt (0.000, 0.500, 0.000)
Pt (0.000, 0.000, 0.500)
Pt (0.500, 0.000, 0.000)

Stability summary - winner: ii; margin: 338 meV/atom.

i | First-principles (PBE) data for a relaxed K2SiPt2 crystal, as listed in Alexandria.

Output
magnetic moment	0.00	μB per cell

Cell: 6.334 6.334 5.653 Å, 90.00 90.00 90.00°
Atoms (fractional coordinates):
K (0.175, 0.675, 0.500)
K (0.675, 0.825, 0.500)
K (0.825, 0.325, 0.500)
K (0.325, 0.175, 0.500)
Si (0.000, 0.000, 0.000)
Si (0.500, 0.500, 0.000)
Pt (0.349, 0.849, 0.000)
Pt (0.849, 0.651, 0.000)
Pt (0.651, 0.151, 0.000)
Pt (0.151, 0.349, 0.000)

ii | First-principles (PBE) data for a relaxed K2SiPt2 crystal, as listed in Alexandria.

Output
magnetic moment	0.58	μB per cell

Cell: 9.485 9.485 2.715 Å, 90.00 90.00 90.00°
Each line ends with the local moment (μB).
Atoms (fractional coordinates):
K (0.378, 0.878, 0.000)  0.00
K (0.878, 0.622, 0.000)  0.00
K (0.622, 0.122, 0.000)  0.00
K (0.122, 0.378, 0.000)  0.00
Si (0.000, 0.000, 0.000)  0.02
Si (0.500, 0.500, 0.000)  0.02
Pt (0.178, 0.678, 0.500)  0.12
Pt (0.678, 0.822, 0.500)  0.14
Pt (0.822, 0.322, 0.500)  0.12
Pt (0.322, 0.178, 0.500)  0.13

iii | First-principles (PBE) data for a relaxed K2SiPt2 crystal, as listed in Alexandria.

Output
magnetic moment	0.80	μB per cell

Cell: 3.641 3.641 10.896 Å, 80.38 80.38 90.00°
Each line ends with the local moment (μB).
Atoms (fractional coordinates):
K (0.385, 0.385, 0.230)  0.01
K (0.615, 0.615, 0.770)  0.01
Si (0.000, 0.000, 0.000)  0.20
Pt (0.750, 0.250, 0.500)  0.00
Pt (0.250, 0.750, 0.500)  0.00

Stability summary - winner: i; margin: 600 meV/atom.

i | First-principles (PBE) data for a relaxed KSi3Pt crystal, as listed in Alexandria.

Output
magnetic moment	0.00	μB per cell

Cell: 5.035 5.035 5.035 Å, 90.00 90.00 90.00°
Atoms (fractional coordinates):
K (0.000, 0.000, 0.000)
Si (0.000, 0.500, 0.000)
Si (0.000, 0.000, 0.500)
Si (0.500, 0.000, 0.000)
Pt (0.500, 0.500, 0.500)

ii | First-principles (PBE) data for a relaxed KSi3Pt crystal, as listed in Alexandria.

Output
magnetic moment	0.00	μB per cell

Cell: 4.896 4.896 4.896 Å, 90.00 90.00 90.00°
Atoms (fractional coordinates):
K (0.500, 0.500, 0.500)
Si (0.000, 0.500, 0.000)
Si (0.000, 0.000, 0.500)
Si (0.500, 0.000, 0.000)
Pt (0.000, 0.000, 0.000)

Stability summary - winner: ii; margin: 1921 meV/atom.